First-principles (SCAN) data for a crystal of K3CeP2O8 relaxed with PBEsol, as listed in Alexandria via LeMat-Bulk.

Summary:
E_form (uncorrected) ... -2853 meV/atom
Space group ... P2_1/m (11)
V ... 14.34 Å³/atom
Total magnetic moment ... 2.00 μB per cell
E_tot ... -12.867 eV per atom

Cell lengths 7.440, 5.640, 9.570 Å; angles 90.00, 90.94, 90.00 degrees
Sites, in units of the cell vectors:
K: 0.008 0.250 0.191
K: 0.139 0.750 0.407
K: 0.300 0.250 0.916
K: 0.700 0.750 0.084
K: 0.861 0.250 0.593
K: 0.992 0.750 0.809
Ce: 0.492 0.750 0.708
Ce: 0.508 0.250 0.292
P: 0.263 0.750 0.085
P: 0.302 0.250 0.574
P: 0.698 0.750 0.426
P: 0.737 0.250 0.915
O: 0.058 0.750 0.100
O: 0.215 0.250 0.425
O: 0.243 0.025 0.655
O: 0.243 0.475 0.655
O: 0.319 0.750 0.930
O: 0.344 0.526 0.158
O: 0.344 0.974 0.158
O: 0.491 0.750 0.444
O: 0.509 0.250 0.556
O: 0.656 0.026 0.842
O: 0.656 0.474 0.842
O: 0.681 0.250 0.070
O: 0.757 0.525 0.345
O: 0.757 0.975 0.345
O: 0.785 0.750 0.575
O: 0.942 0.250 0.900

***

First-principles (SCAN) data for a crystal of CrAg3Br relaxed with PBEsol, as listed in Alexandria via LeMat-Bulk.

Summary:
E_form (uncorrected) ... 1024 meV/atom
Space group ... Pm-3m (221)
V ... 25.52 Å³/atom
Total magnetic moment ... 5.38 μB per cell
E_tot ... -25.365 eV per atom

Cell lengths 5.035, 5.035, 5.035 Å; angles 90.00, 90.00, 90.00 degrees
Sites, in units of the cell vectors:
Cr: 0.000 0.000 0.000
Ag: 0.000 0.500 0.500
Ag: 0.500 0.000 0.500
Ag: 0.500 0.500 0.000
Br: 0.500 0.500 0.500